Record 1
Material: Nb3InTe6
Method: DFT, PBE-GGA
State: optimized geometry

a b c (Å): 8.7701 8.7701 7.3259
angles (deg): 90.00 90.00 114.56
Positions (direct):
Nb1 0.0773 0.9227 0.5000
Nb2 0.2353 0.4683 0.6036
Nb3 0.4683 0.2353 0.1036
Nb4 0.5317 0.7647 0.6036
Nb5 0.7647 0.5317 0.1036
Nb6 0.9227 0.0773 0.0000
In1 0.3236 0.6764 0.2591
In2 0.6764 0.3236 0.7591
Te1 0.0285 0.4392 0.9588
Te2 0.1251 0.8749 0.1129
Te3 0.1669 0.2286 0.2909
Te4 0.2286 0.1669 0.7909
Te5 0.4392 0.0285 0.4588
Te6 0.4610 0.5390 0.9672
Te7 0.5390 0.4610 0.4672
Te8 0.5608 0.9715 0.9588
Te9 0.7714 0.8331 0.2909
Te10 0.8331 0.7714 0.7909
Te11 0.8749 0.1251 0.6129
Te12 0.9715 0.5608 0.4588

Values from the calculation:
**SG**: Cmc2_1 (36)
**Size of the total moment**: 0.000 μB/cell
**Calculated density**: 7512 kg/m3
**DOS(E_F)**: 5.159 states/eV/f.u.
**Formation energy from raw total energies**: -85 meV per atom

Record 2
Material: BaTl4Se
Method: DFT, PBE-GGA
State: optimized geometry

a b c (Å): 6.5356 6.5356 6.5356
angles (deg): 60.00 60.00 60.00
Positions (direct):
Ba1 0.0000 0.0000 0.0000
Tl1 0.3758 0.3758 0.3758
Tl2 0.3758 0.3758 0.8725
Tl3 0.3758 0.8725 0.3758
Tl4 0.8725 0.3758 0.3758
Se1 0.7500 0.7500 0.7500

Values from the calculation:
**SG**: F-43m (216)
**Size of the total moment**: 0.000 μB/cell
**Calculated density**: 8697 kg/m3
**DOS(E_F)**: 6.097 states/eV/f.u.
**Formation energy from raw total energies**: -187 meV per atom

Record 3
Material: Rb3PmU3S8
Method: DFT, PBE-GGA
State: optimized geometry

a b c (Å): 9.1230 9.1230 9.1230
angles (deg): 52.99 52.99 52.99
Positions (direct):
Rb1 0.0000 0.5000 0.5000
Rb2 0.5000 0.0000 0.5000
Rb3 0.5000 0.5000 0.0000
Pm1 0.5000 0.5000 0.5000
U1 0.0000 0.0000 0.5000
U2 0.0000 0.5000 0.0000
U3 0.5000 0.0000 0.0000
S1 0.2218 0.7341 0.7341
S2 0.2303 0.2303 0.2303
S3 0.2659 0.2659 0.7782
S4 0.2659 0.7782 0.2659
S5 0.7341 0.2218 0.7341
S6 0.7341 0.7341 0.2218
S7 0.7697 0.7697 0.7697
S8 0.7782 0.2659 0.2659

Values from the calculation:
**SG**: R-3m (166)
**Size of the total moment**: 8.001 μB/cell
**Calculated density**: 5078 kg/m3
**DOS(E_F)**: 14.379 states/eV/f.u.
**Formation energy from raw total energies**: -1506 meV per atom